! MnCdAgRu2 | the Alexandria database | GGA-PBE | relaxed; values from VASP
&SYSTEM
  ibrav = 0, nat = 5, ntyp = 4
/
ATOMIC_SPECIES
Mn 54.94 Mn.upf
Cd 112.41 Cd.upf
Ag 107.87 Ag.upf
Ru 101.07 Ru.upf
ATOMIC_POSITIONS crystal
Mn 0.000 0.000 0.000
Cd 0.000 0.000 0.500
Ag 0.500 0.500 0.500
Ru 0.000 0.500 0.000
Ru 0.500 0.000 0.000
CELL_PARAMETERS angstrom
4.372 0.000 0.000
0.000 4.372 0.000
0.000 0.000 4.947
! Space group = No. 123
! Energy of formation = 520 kJ/mol of formula units
! Density of states at the Fermi level = 6.3 states/eV/f.u.
! M_tot = 1.07 Bohr magnetons per cell


! NaCd2AgBr6 | the Alexandria database | GGA-PBE | relaxed; values from VASP
&SYSTEM
  ibrav = 0, nat = 20, ntyp = 4
/
ATOMIC_SPECIES
Na 22.99 Na.upf
Cd 112.41 Cd.upf
Ag 107.87 Ag.upf
Br 79.90 Br.upf
ATOMIC_POSITIONS crystal
Na 0.098 0.902 0.750
Na 0.902 0.098 0.250
Cd 0.222 0.394 0.727
Cd 0.394 0.222 0.227
Cd 0.606 0.778 0.773
Cd 0.778 0.606 0.273
Ag 0.252 0.748 0.250
Ag 0.748 0.252 0.750
Br 0.034 0.197 0.637
Br 0.126 0.631 0.907
Br 0.197 0.034 0.137
Br 0.288 0.457 0.411
Br 0.369 0.874 0.593
Br 0.457 0.288 0.911
Br 0.543 0.712 0.089
Br 0.631 0.126 0.407
Br 0.712 0.543 0.589
Br 0.803 0.966 0.863
Br 0.874 0.369 0.093
Br 0.966 0.803 0.363
CELL_PARAMETERS angstrom
7.020 -6.547 0.000
7.020 6.547 0.000
-1.691 0.000 7.191
! Space group = No. 15
! Raw total energy = -49.44 eV per cell
! Density of states at the Fermi level = 0.0 states/eV/f.u.
! M_tot = 0.00 Bohr magnetons per cell


! Dy2ErAu | the Alexandria database | GGA-PBE | relaxed; values from VASP
&SYSTEM
  ibrav = 0, nat = 16, ntyp = 3
/
ATOMIC_SPECIES
Dy 162.50 Dy.upf
Er 167.26 Er.upf
Au 196.97 Au.upf
ATOMIC_POSITIONS crystal
Dy 0.199 0.055 0.196
Dy 0.199 0.445 0.196
Dy 0.301 0.555 0.696
Dy 0.301 0.945 0.696
Dy 0.699 0.055 0.304
Dy 0.699 0.445 0.304
Dy 0.801 0.555 0.804
Dy 0.801 0.945 0.804
Er 0.015 0.250 0.616
Er 0.485 0.750 0.116
Er 0.515 0.250 0.884
Er 0.985 0.750 0.384
Au 0.084 0.750 0.965
Au 0.416 0.250 0.465
Au 0.584 0.750 0.535
Au 0.916 0.250 0.035
CELL_PARAMETERS angstrom
6.927 0.000 0.000
0.000 9.699 0.000
0.000 0.000 6.664
! ΔE to the lowest computed polymorph = 0.000 eV/atom
! Space group = No. 62
! Energy of formation = -174 kJ/mol of formula units
! Density of states at the Fermi level = 3.3 states/eV/f.u.
! M_tot = 0.00 Bohr magnetons per cell


! Pr4Nd10Y | the Alexandria database | GGA-PBE | relaxed; values from VASP
&SYSTEM
  ibrav = 0, nat = 15, ntyp = 3
/
ATOMIC_SPECIES
Pr 140.91 Pr.upf
Nd 144.24 Nd.upf
Y 88.91 Y.upf
ATOMIC_POSITIONS crystal
Pr 0.100 0.701 0.801
Pr 0.299 0.100 0.400
Pr 0.701 0.900 0.600
Pr 0.900 0.299 0.199
Nd 0.052 0.350 0.900
Nd 0.152 0.052 0.702
Nd 0.250 0.750 0.500
Nd 0.350 0.451 0.298
Nd 0.451 0.152 0.100
Nd 0.549 0.848 0.900
Nd 0.650 0.549 0.702
Nd 0.750 0.250 0.500
Nd 0.848 0.948 0.298
Nd 0.948 0.650 0.100
Y 0.500 0.500 0.000
CELL_PARAMETERS angstrom
-6.256 6.256 3.952
6.256 -6.256 3.952
6.256 6.256 -3.952
! Space group = No. 87
! Energy of formation = 1036 kJ/mol of formula units
! Density of states at the Fermi level = 30.7 states/eV/f.u.
! M_tot = 0.00 Bohr magnetons per cell


! CuH2RuO | the Alexandria database | GGA-PBE | relaxed; values from VASP
&SYSTEM
  ibrav = 0, nat = 5, ntyp = 4
/
ATOMIC_SPECIES
Cu 63.55 Cu.upf
H 1.01 H.upf
Ru 101.07 Ru.upf
O 16.00 O.upf
ATOMIC_POSITIONS crystal
Cu 0.000 0.000 0.000
H 0.000 0.500 0.500
H 0.500 0.000 0.500
Ru 0.500 0.500 0.500
O 0.500 0.500 0.000
CELL_PARAMETERS angstrom
3.470 0.000 0.000
0.000 3.470 0.000
0.000 0.000 3.852
! Space group = No. 123
! Raw total energy = -24.26 eV per cell
! Density of states at the Fermi level = 2.4 states/eV/f.u.
! M_tot = 0.00 Bohr magnetons per cell


! Tb4ZnPd | the Alexandria database | GGA-PBE | relaxed; values from VASP
&SYSTEM
  ibrav = 0, nat = 6, ntyp = 3
/
ATOMIC_SPECIES
Tb 158.93 Tb.upf
Zn 65.41 Zn.upf
Pd 106.42 Pd.upf
ATOMIC_POSITIONS crystal
Tb 0.000 0.500 0.247
Tb 0.000 0.500 0.753
Tb 0.500 0.000 0.247
Tb 0.500 0.000 0.753
Zn 0.000 0.000 0.500
Pd 0.500 0.500 0.000
CELL_PARAMETERS angstrom
3.478 -3.478 0.000
3.478 3.478 0.000
-0.009 0.000 7.020
! ΔE to the lowest computed polymorph = 0.198 eV/atom
! Space group = No. 12
! Energy of formation = -125 kJ/mol of formula units
! Density of states at the Fermi level = 9.2 states/eV/f.u.
! M_tot = 0.00 Bohr magnetons per cell


! NaGaF2 | the Alexandria database | GGA-PBE | relaxed; values from VASP
&SYSTEM
  ibrav = 0, nat = 4, ntyp = 3
/
ATOMIC_SPECIES
Na 22.99 Na.upf
Ga 69.72 Ga.upf
F 19.00 F.upf
ATOMIC_POSITIONS crystal
Na 0.000 0.000 0.000
Ga 0.500 0.500 0.500
F 0.250 0.250 0.250
F 0.750 0.750 0.750
CELL_PARAMETERS angstrom
0.000 3.072 3.072
3.072 0.000 3.072
3.072 3.072 0.000
! ΔE to the lowest computed polymorph = 0.175 eV/atom
! Space group = No. 225
! Density of states at the Fermi level = 0.0 states/eV/f.u.
! M_tot = 0.00 Bohr magnetons per cell


! Pa3P4Rh4 | the Alexandria database | GGA-PBE | relaxed; values from VASP
&SYSTEM
  ibrav = 0, nat = 11, ntyp = 3
/
ATOMIC_SPECIES
Pa 231.04 Pa.upf
P 30.97 P.upf
Rh 102.91 Rh.upf
ATOMIC_POSITIONS crystal
Pa 0.000 0.000 0.000
Pa 0.355 0.855 0.500
Pa 0.645 0.145 0.500
P 0.193 0.693 0.500
P 0.451 0.451 0.000
P 0.549 0.549 0.000
P 0.807 0.307 0.500
Rh 0.098 0.598 0.500
Rh 0.252 0.252 0.000
Rh 0.748 0.748 0.000
Rh 0.902 0.402 0.500
CELL_PARAMETERS angstrom
-1.936 2.000 12.301
1.936 -2.000 12.301
1.936 2.000 -12.301
! ΔE to the lowest computed polymorph = 0.026 eV/atom
! Space group = No. 71
! Energy of formation = -1150 kJ/mol of formula units
! Density of states at the Fermi level = 12.0 states/eV/f.u.
! M_tot = 0.00 Bohr magnetons per cell


! YTiP2O | the Alexandria database | GGA-PBE | relaxed; values from VASP
&SYSTEM
  ibrav = 0, nat = 5, ntyp = 4
/
ATOMIC_SPECIES
Y 88.91 Y.upf
Ti 47.87 Ti.upf
P 30.97 P.upf
O 16.00 O.upf
ATOMIC_POSITIONS crystal
Y 0.000 0.000 0.000
Ti 0.500 0.500 0.500
P 0.000 0.500 0.500
P 0.500 0.000 0.500
O 0.500 0.500 0.000
CELL_PARAMETERS angstrom
4.877 0.000 0.000
0.000 4.877 0.000
0.000 0.000 3.767
! ΔE to the lowest computed polymorph = 0.000 eV/atom
! Space group = No. 123
! Density of states at the Fermi level = 3.8 states/eV/f.u.
! M_tot = 0.00 Bohr magnetons per cell


! FeAgC3 | the Alexandria database | GGA-PBE | relaxed; values from VASP
&SYSTEM
  ibrav = 0, nat = 5, ntyp = 3
/
ATOMIC_SPECIES
Fe 55.84 Fe.upf
Ag 107.87 Ag.upf
C 12.01 C.upf
ATOMIC_POSITIONS crystal
Fe 0.000 0.000 0.000
Ag 0.500 0.500 0.500
C 0.000 0.000 0.500
C 0.000 0.500 0.000
C 0.500 0.000 0.000
CELL_PARAMETERS angstrom
3.793 0.000 0.000
0.000 3.793 0.000
0.000 0.000 3.793
! ΔE to the lowest computed polymorph = 0.000 eV/atom
! Space group = No. 221
! Energy of formation = 970 kJ/mol of formula units
! Density of states at the Fermi level = 4.0 states/eV/f.u.
! M_tot = 0.00 Bohr magnetons per cell


! AgCBr2 | the Alexandria database | GGA-PBE | relaxed; values from VASP
&SYSTEM
  ibrav = 0, nat = 4, ntyp = 3
/
ATOMIC_SPECIES
Ag 107.87 Ag.upf
C 12.01 C.upf
Br 79.90 Br.upf
ATOMIC_POSITIONS crystal
Ag 0.000 0.000 0.000
C 0.500 0.500 0.500
Br 0.250 0.250 0.250
Br 0.750 0.750 0.750
CELL_PARAMETERS angstrom
0.000 3.446 3.446
3.446 0.000 3.446
3.446 3.446 0.000
! ΔE to the lowest computed polymorph = 0.379 eV/atom
! Space group = No. 225
! Density of states at the Fermi level = 2.7 states/eV/f.u.
! M_tot = 1.00 Bohr magnetons per cell


! Zn2CoPt | the Alexandria database | GGA-PBE | relaxed; values from VASP
&SYSTEM
  ibrav = 0, nat = 4, ntyp = 3
/
ATOMIC_SPECIES
Zn 65.41 Zn.upf
Co 58.93 Co.upf
Pt 195.08 Pt.upf
ATOMIC_POSITIONS crystal
Zn 0.000 0.500 0.000
Zn 0.500 0.000 0.000
Co 0.000 0.000 0.500
Pt 0.500 0.500 0.500
CELL_PARAMETERS angstrom
3.898 0.000 0.000
0.000 3.898 0.000
0.000 0.000 3.564
! Space group = No. 123
! Energy of formation = -97 kJ/mol of formula units
! Density of states at the Fermi level = 3.1 states/eV/f.u.
! M_tot = 0.99 Bohr magnetons per cell


! Sc2MnTc2 | the Alexandria database | GGA-PBE | relaxed; values from VASP
&SYSTEM
  ibrav = 0, nat = 5, ntyp = 3
/
ATOMIC_SPECIES
Sc 44.96 Sc.upf
Mn 54.94 Mn.upf
Tc 98.00 Tc.upf
ATOMIC_POSITIONS crystal
Sc 0.000 0.000 0.000
Sc 0.500 0.500 0.000
Mn 0.000 0.000 0.500
Tc 0.000 0.500 0.500
Tc 0.500 0.000 0.500
CELL_PARAMETERS angstrom
4.524 0.000 0.000
0.000 4.524 0.000
0.000 0.000 4.540
! ΔE to the lowest computed polymorph = 0.436 eV/atom
! Space group = No. 123
! Energy of formation = 207 kJ/mol of formula units
! Density of states at the Fermi level = 6.5 states/eV/f.u.
! M_tot = 0.00 Bohr magnetons per cell


! CePmAuBr | the Alexandria database | GGA-PBE | relaxed; values from VASP
&SYSTEM
  ibrav = 0, nat = 4, ntyp = 4
/
ATOMIC_SPECIES
Ce 140.12 Ce.upf
Pm 145.00 Pm.upf
Au 196.97 Au.upf
Br 79.90 Br.upf
ATOMIC_POSITIONS crystal
Ce 0.000 0.000 0.000
Pm 0.500 0.500 0.500
Au 0.750 0.750 0.750
Br 0.250 0.250 0.250
CELL_PARAMETERS angstrom
0.000 3.723 3.723
3.723 0.000 3.723
3.723 3.723 0.000
! Space group = No. 216
! Raw total energy = -18.47 eV per cell
! Density of states at the Fermi level = 10.1 states/eV/f.u.
! M_tot = 2.22 Bohr magnetons per cell


! TiSnBPd2 | the Alexandria database | GGA-PBE | relaxed; values from VASP
&SYSTEM
  ibrav = 0, nat = 5, ntyp = 4
/
ATOMIC_SPECIES
Ti 47.87 Ti.upf
Sn 118.71 Sn.upf
B 10.81 B.upf
Pd 106.42 Pd.upf
ATOMIC_POSITIONS crystal
Ti 0.000 0.000 0.000
Sn 0.500 0.500 0.500
B 0.500 0.500 0.000
Pd 0.000 0.500 0.500
Pd 0.500 0.000 0.500
CELL_PARAMETERS angstrom
4.976 0.000 0.000
0.000 4.976 0.000
0.000 0.000 4.124
! Space group = No. 123
! Energy of formation = 524 kJ/mol of formula units
! Density of states at the Fermi level = 8.2 states/eV/f.u.
! M_tot = 0.08 Bohr magnetons per cell


! AgSe3 | the Alexandria database | GGA-PBE | relaxed; values from VASP
&SYSTEM
  ibrav = 0, nat = 4, ntyp = 2
/
ATOMIC_SPECIES
Ag 107.87 Ag.upf
Se 78.96 Se.upf
ATOMIC_POSITIONS crystal
Ag 0.000 0.000 0.000
Se 0.000 0.500 0.498
Se 0.500 0.000 0.582
Se 0.500 0.500 0.065
CELL_PARAMETERS angstrom
3.630 0.000 0.000
0.000 3.642 0.000
0.000 0.000 8.303
! Space group = No. 25
! Raw total energy = -12.60 eV per cell
! Density of states at the Fermi level = 4.0 states/eV/f.u.
! M_tot = 0.00 Bohr magnetons per cell


! Na5InO4 | the Alexandria database | GGA-PBE | relaxed; values from VASP
&SYSTEM
  ibrav = 0, nat = 10, ntyp = 3
/
ATOMIC_SPECIES
Na 22.99 Na.upf
In 114.82 In.upf
O 16.00 O.upf
ATOMIC_POSITIONS crystal
Na 0.000 0.000 0.000
Na 0.110 0.839 0.272
Na 0.433 0.161 0.272
Na 0.567 0.839 0.728
Na 0.890 0.161 0.728
In 0.500 0.500 0.000
O 0.217 0.500 0.717
O 0.308 0.308 0.000
O 0.692 0.692 0.000
O 0.783 0.500 0.283
CELL_PARAMETERS angstrom
-1.730 3.652 5.825
1.730 -3.652 5.825
1.730 3.652 -5.825
! ΔE to the lowest computed polymorph = 0.225 eV/atom
! Space group = No. 71
! M_tot = 0.00 Bohr magnetons per cell


Record order is preserved below.
Theoretical density: 8.385; 4.196; 10.225; 5.623; 6.539; 7.898; 3.743; 10.709; 3.979; 6.076; 5.673; 11.805; 6.092; 9.042; 6.346; 5.215; 3.314 g/cm3